No. 1
The following is a PBE calculation of a relaxed structure of Y2FeCoRe, from Alexandria via LeMat-Bulk.

Its density of states at the Fermi level is 1.474 states/eV/atom. The volume is 21.5 Å³/atom. Its formation energy is 0.845 eV per atom. Its uncorrected energy is -7.3437 eV/atom.

The space group is P4/mmm (No. 123) and the conventional cell measures 5.0418, 5.0418 and 4.2202 Å, with angles of 90.00, 90.00 and 90.00 degrees. The asymmetric unit holds Y at (0.0000, 0.5000, 0.0000), Fe at (0.0000, 0.0000, 0.5000), Co at (0.0000, 0.0000, 0.0000) and Re at (0.5000, 0.5000, 0.5000).

=====

No. 2
The following is a PBE calculation of a relaxed structure of Tc2PtCl, from Alexandria via LeMat-Bulk.

As for the energy above the most stable polymorph in this dataset: 864.0 meV/atom. Its density of states at the Fermi level is 1.128 states/eV/atom. The volume is 20.1 Å³/atom. As for the uncorrected formation energy: 94.8 kJ/mol of atoms. Its uncorrected energy is -6.1723 eV/atom.

The space group is I-42d (No. 122) and the conventional cell measures 5.3139, 5.3139 and 11.3844 Å, with angles of 90.00, 90.00 and 90.00 degrees. The asymmetric unit holds Tc at (0.2142, 0.2500, 0.1250), Pt at (0.0000, 0.0000, 0.5000) and Cl at (0.0000, 0.0000, 0.0000).

=====

Question: Which of these has the highest uncorrected energy?
Answer: Tc2PtCl

=====

Question: The lowest uncorrected energy belongs to which entry?
Answer: Y2FeCoRe